Entry 1:
{"formula": "Zr2PAu", "functional": "PBE", "state": "relaxed", "ef_ev_per_atom": -0.57, "sg": "Imm2, No. 44", "e_tot_ev_per_atom": -7.02, "lattice_angstrom": [[-1.711, 2.230, 4.971], [1.711, -2.230, 4.971], [1.711, 2.230, -4.971]], "species": ["Zr", "P", "Zr", "Au"], "frac_coords": [[0.034, 0.034, 0.000], [0.247, 0.747, 0.500], [0.751, 0.251, 0.500], [0.469, 0.469, 0.000]]}

---

Entry 2:
{"formula": "Zr3PAu", "functional": "PBE", "state": "relaxed", "ef_ev_per_atom": -0.38, "sg": "Pm-3m, No. 221", "polymorph_energy_ev_per_fu": 1.93, "e_tot_ev_per_atom": -7.24, "lattice_angstrom": [[4.835, 0.000, 0.000], [0.000, 4.835, 0.000], [0.000, 0.000, 4.835]], "species": ["Zr", "Zr", "P", "Au", "Zr"], "frac_coords": [[0.000, 0.500, 0.000], [0.000, 0.000, 0.500], [0.000, 0.000, 0.000], [0.500, 0.500, 0.500], [0.500, 0.000, 0.000]]}

---

Entry 3:
{"formula": "Zr2PAu", "functional": "PBE", "state": "relaxed", "ef_ev_per_atom": 0.12, "sg": "F-43m, No. 216", "e_tot_ev_per_atom": -6.32, "lattice_angstrom": [[0.000, 3.375, 3.375], [3.375, 0.000, 3.375], [3.375, 3.375, 0.000]], "species": ["Au", "P", "Zr", "Zr"], "frac_coords": [[0.500, 0.500, 0.500], [0.750, 0.750, 0.750], [0.000, 0.000, 0.000], [0.250, 0.250, 0.250]]}